## Ac2PmY3 (PBE-GGA)

Data for a relaxed structure of Ac2PmY3.

Calculated values
Energy: -5.251 eV per atom
Calculated formation energy: 142.1 meV/atom
Spin magnetization: 0.00 μB/cell

Cell lengths 16.4081, 7.5978, 7.5003 Å; angles 90.00, 103.22, 90.00 degrees
Space group C2/c (No. 15)
Unique sites:
Ac (0.1820, 0.0019, 0.0912)
Pm (0.0000, 0.2130, 0.7500)
Y (0.0000, 0.2107, 0.2500)
Y (0.1169, 0.4993, 0.5586)